1.
NaIrO | GGA-PBE | relaxed

Output
As for the total DFT energy (no corrections): -5.62 eV per atom. The calculation puts the formation energy without anion corrections at -573 meV/atom.

The structure in CIF format:
```
data_NaIrO
_cell_length_a 8.159
_cell_length_b 2.875
_cell_length_c 8.125
_cell_angle_alpha 90.00
_cell_angle_beta 119.83
_cell_angle_gamma 90.00
_symmetry_space_group_name_H-M 'C 1 m 1'
_symmetry_Int_Tables_number 8
loop_
_symmetry_equiv_pos_as_xyz
'x,y,z'
'x,-y,z'
'x+1/2,y+1/2,z'
'x+1/2,-y+1/2,z'
loop_
_atom_site_label
_atom_site_type_symbol
_atom_site_fract_x
_atom_site_fract_y
_atom_site_fract_z
Na1 Na 0.000 0.000 0.000
Na2 Na 0.135 0.500 0.738
Ir1 Ir 0.261 0.500 0.445
Ir2 Ir 0.395 0.000 0.283
O1 O 0.286 0.000 0.010
O2 O 0.318 0.000 0.653
```

2.
Zr5Ga2Sb2 | GGA-PBE | relaxed

Output
As for the total DFT energy (no corrections): -7.03 eV per atom. The calculation puts the formation energy without anion corrections at -688 meV/atom.

The structure in CIF format:
```
data_Zr5Ga2Sb2
_cell_length_a 14.315
_cell_length_b 7.445
_cell_length_c 7.377
_cell_angle_alpha 90.00
_cell_angle_beta 90.00
_cell_angle_gamma 90.00
_symmetry_space_group_name_H-M 'C m c e'
_symmetry_Int_Tables_number 64
_symmetry_space_group_name_Hall '-C 2ac 2'
loop_
_atom_site_label
_atom_site_type_symbol
_atom_site_fract_x
_atom_site_fract_y
_atom_site_fract_z
Zr1 Zr 0.000 0.000 0.000
Zr2 Zr 0.128 0.169 0.329
Ga1 Ga 0.000 0.127 0.626
Sb1 Sb 0.208 0.000 0.000
```

3.
MoAs2 | GGA-PBE | relaxed

Output
As for the total DFT energy (no corrections): -6.79 eV per atom. As for the formation energy: -0.080 eV/atom.

The structure in CIF format:
```
data_MoAs2
_cell_length_a 5.924
_cell_length_b 5.924
_cell_length_c 5.822
_cell_angle_alpha 90.00
_cell_angle_beta 90.00
_cell_angle_gamma 90.00
_symmetry_space_group_name_H-M 'I 4/m c m'
_symmetry_Int_Tables_number 140
_symmetry_space_group_name_Hall '-I 4 2c'
loop_
_atom_site_label
_atom_site_type_symbol
_atom_site_fract_x
_atom_site_fract_y
_atom_site_fract_z
Mo1 Mo 0.000 0.000 0.250
As1 As 0.150 0.350 0.000
```